Entry 1:
Entry from Alexandria: a relaxed structure of VCuPd2 (GGA-PBE).

```
data_VCuPd2
_space_group_name_H-M_alt 'P 1'
_space_group_IT_number 1
_space_group_name_Hall 'P 1'
_cell_length_a 5.519
_cell_length_b 5.519
_cell_length_c 5.519
_cell_angle_alpha 103.91
_cell_angle_beta 103.91
_cell_angle_gamma 121.29
loop_
_atom_site_label
_atom_site_type_symbol
_atom_site_fract_x
_atom_site_fract_y
_atom_site_fract_z
_atom_site_occupancy
V1 V 0.000 0.000 0.000 1
V2 V 0.750 0.250 0.500 1
Cu1 Cu 0.250 0.750 0.500 1
Cu2 Cu 0.500 0.500 0.000 1
Pd1 Pd 0.119 0.625 0.994 1
Pd2 Pd 0.375 0.369 0.494 1
Pd3 Pd 0.631 0.125 0.006 1
Pd4 Pd 0.875 0.881 0.506 1
```

Values from the calculation:
Volume in Å³ per cell: 125.2
Space group: I-42d
Energy in eV per cell: -45.1
Crystal system: tetragonal

***

Entry 2:
Entry from Alexandria: a relaxed structure of YGeAs2I (GGA-PBE).

```
data_YGeAs2I
_space_group_name_H-M_alt 'P 1'
_space_group_IT_number 1
_space_group_name_Hall 'P 1'
_cell_length_a 4.983
_cell_length_b 4.983
_cell_length_c 5.488
_cell_angle_alpha 90.00
_cell_angle_beta 90.00
_cell_angle_gamma 90.00
loop_
_atom_site_label
_atom_site_type_symbol
_atom_site_fract_x
_atom_site_fract_y
_atom_site_fract_z
_atom_site_occupancy
Y1 Y 0.000 0.000 0.000 1
Ge1 Ge 0.500 0.500 0.500 1
As1 As 0.000 0.500 0.500 1
As2 As 0.500 0.000 0.500 1
I1 I 0.500 0.500 0.000 1
```

Values from the calculation:
Volume in Å³ per cell: 136.3
Space group: P4/mmm
Energy in eV per cell: -21.4
Crystal system: tetragonal
Formation energy (no corrections) in eV per atom: 0.108

***

Entry 3:
Entry from Alexandria: a relaxed structure of Dy6GeS12 (GGA-PBE).

```
data_Dy6GeS12
_space_group_name_H-M_alt 'P 1'
_space_group_IT_number 1
_space_group_name_Hall 'P 1'
_cell_length_a 7.725
_cell_length_b 7.725
_cell_length_c 7.725
_cell_angle_alpha 98.82
_cell_angle_beta 98.82
_cell_angle_gamma 98.82
loop_
_atom_site_label
_atom_site_type_symbol
_atom_site_fract_x
_atom_site_fract_y
_atom_site_fract_z
_atom_site_occupancy
Dy1 Dy 0.131 0.633 0.800 1
Dy2 Dy 0.200 0.869 0.367 1
Dy3 Dy 0.367 0.200 0.869 1
Dy4 Dy 0.633 0.800 0.131 1
Dy5 Dy 0.800 0.131 0.633 1
Dy6 Dy 0.869 0.367 0.200 1
Ge1 Ge 0.500 0.500 0.500 1
S1 S 0.063 0.319 0.921 1
S2 S 0.079 0.937 0.681 1
S3 S 0.185 0.527 0.447 1
S4 S 0.319 0.921 0.063 1
S5 S 0.447 0.185 0.527 1
S6 S 0.473 0.553 0.815 1
S7 S 0.527 0.447 0.185 1
S8 S 0.553 0.815 0.473 1
S9 S 0.681 0.079 0.937 1
S10 S 0.815 0.473 0.553 1
S11 S 0.921 0.063 0.319 1
S12 S 0.937 0.681 0.079 1
```

Values from the calculation:
Volume in Å³ per cell: 442.8
Space group: R-3
Energy in eV per cell: -111.4
Crystal system: trigonal
Formation energy (no corrections) in eV per atom: -1.561

***

Entry 4:
Entry from Alexandria: a relaxed structure of LiZrRe2 (GGA-PBE).

```
data_LiZrRe2
_space_group_name_H-M_alt 'P 1'
_space_group_IT_number 1
_space_group_name_Hall 'P 1'
_cell_length_a 3.127
_cell_length_b 3.127
_cell_length_c 6.579
_cell_angle_alpha 90.00
_cell_angle_beta 90.00
_cell_angle_gamma 90.00
loop_
_atom_site_label
_atom_site_type_symbol
_atom_site_fract_x
_atom_site_fract_y
_atom_site_fract_z
_atom_site_occupancy
Li1 Li 0.000 0.000 0.000 1
Zr1 Zr 0.500 0.500 0.718 1
Re1 Re 0.000 0.000 0.427 1
Re2 Re 0.500 0.500 0.211 1
```

Values from the calculation:
Volume in Å³ per cell: 64.3
Space group: P4mm
Energy in eV per cell: -34.8
Crystal system: tetragonal
Distance to the lowest polymorph of the same formula in kJ/mol of atoms: 5.8

***

Entry 5:
Entry from Alexandria: a relaxed structure of AlSO6 (GGA-PBE).

```
data_AlSO6
_space_group_name_H-M_alt 'P 1'
_space_group_IT_number 1
_space_group_name_Hall 'P 1'
_cell_length_a 4.917
_cell_length_b 4.917
_cell_length_c 4.917
_cell_angle_alpha 57.39
_cell_angle_beta 57.39
_cell_angle_gamma 57.39
loop_
_atom_site_label
_atom_site_type_symbol
_atom_site_fract_x
_atom_site_fract_y
_atom_site_fract_z
_atom_site_occupancy
Al1 Al 0.000 0.000 0.000 1
S1 S 0.500 0.500 0.500 1
O1 O 0.178 0.727 0.367 1
O2 O 0.273 0.633 0.822 1
O3 O 0.367 0.178 0.727 1
O4 O 0.633 0.822 0.273 1
O5 O 0.727 0.367 0.178 1
O6 O 0.822 0.273 0.633 1
```

Values from the calculation:
Volume in Å³ per cell: 79.0
Space group: R-3
Energy in eV per cell: -44.3
Crystal system: trigonal
Formation energy (no corrections) in eV per atom: -0.840

***

Entry 6:
Entry from Alexandria: a relaxed structure of K2AsCl4 (GGA-PBE).

```
data_K2AsCl4
_space_group_name_H-M_alt 'P 1'
_space_group_IT_number 1
_space_group_name_Hall 'P 1'
_cell_length_a 6.671
_cell_length_b 6.671
_cell_length_c 6.671
_cell_angle_alpha 112.61
_cell_angle_beta 112.61
_cell_angle_gamma 103.37
loop_
_atom_site_label
_atom_site_type_symbol
_atom_site_fract_x
_atom_site_fract_y
_atom_site_fract_z
_atom_site_occupancy
K1 K 0.250 0.750 0.500 1
K2 K 0.750 0.250 0.500 1
As1 As 0.000 0.000 0.000 1
Cl1 Cl 0.239 0.239 0.479 1
Cl2 Cl 0.239 0.761 0.000 1
Cl3 Cl 0.761 0.239 0.000 1
Cl4 Cl 0.761 0.761 0.521 1
```

Values from the calculation:
Volume in Å³ per cell: 226.6
Space group: I4/mmm
Energy in eV per cell: -23.2
Crystal system: tetragonal
Formation energy (no corrections) in eV per atom: -1.283

***

Entry 7:
Entry from Alexandria: a relaxed structure of KNaZnSi (GGA-PBE).

```
data_KNaZnSi
_space_group_name_H-M_alt 'P 1'
_space_group_IT_number 1
_space_group_name_Hall 'P 1'
_cell_length_a 4.345
_cell_length_b 4.345
_cell_length_c 7.903
_cell_angle_alpha 105.90
_cell_angle_beta 105.90
_cell_angle_gamma 60.00
loop_
_atom_site_label
_atom_site_type_symbol
_atom_site_fract_x
_atom_site_fract_y
_atom_site_fract_z
_atom_site_occupancy
K1 K 0.000 0.000 0.000 1
Na1 Na 0.180 0.180 0.542 1
Zn1 Zn 0.439 0.439 0.318 1
Si1 Si 0.772 0.772 0.316 1
```

Values from the calculation:
Volume in Å³ per cell: 122.6
Space group: Cm
Energy in eV per cell: -9.1
Crystal system: monoclinic
Formation energy (no corrections) in eV per atom: 0.001

***

Entry 8:
Entry from Alexandria: a relaxed structure of HoSi2Pt5 (GGA-PBE).

```
data_HoSi2Pt5
_space_group_name_H-M_alt 'P 1'
_space_group_IT_number 1
_space_group_name_Hall 'P 1'
_cell_length_a 6.326
_cell_length_b 6.326
_cell_length_c 6.326
_cell_angle_alpha 144.24
_cell_angle_beta 112.25
_cell_angle_gamma 79.04
loop_
_atom_site_label
_atom_site_type_symbol
_atom_site_fract_x
_atom_site_fract_y
_atom_site_fract_z
_atom_site_occupancy
Ho1 Ho 0.000 0.000 0.000 1
Si1 Si 0.253 0.753 0.500 1
Si2 Si 0.747 0.247 0.500 1
Pt1 Pt 0.150 0.354 0.796 1
Pt2 Pt 0.443 0.646 0.796 1
Pt3 Pt 0.500 0.000 0.500 1
Pt4 Pt 0.557 0.354 0.204 1
Pt5 Pt 0.850 0.646 0.204 1
```

Values from the calculation:
Volume in Å³ per cell: 133.7
Space group: Immm
Energy in eV per cell: -52.9
Crystal system: orthorhombic
Formation energy (no corrections) in eV per atom: -0.904

***

Entry 9:
Entry from Alexandria: a relaxed structure of TbCe4In3 (GGA-PBE).

```
data_TbCe4In3
_space_group_name_H-M_alt 'P 1'
_space_group_IT_number 1
_space_group_name_Hall 'P 1'
_cell_length_a 10.169
_cell_length_b 10.169
_cell_length_c 4.675
_cell_angle_alpha 101.18
_cell_angle_beta 101.18
_cell_angle_gamma 26.78
loop_
_atom_site_label
_atom_site_type_symbol
_atom_site_fract_x
_atom_site_fract_y
_atom_site_fract_z
_atom_site_occupancy
Tb1 Tb 0.000 0.000 0.000 1
Ce1 Ce 0.133 0.133 0.591 1
Ce2 Ce 0.235 0.235 0.263 1
Ce3 Ce 0.765 0.765 0.737 1
Ce4 Ce 0.867 0.867 0.409 1
In1 In 0.379 0.379 0.916 1
In2 In 0.500 0.500 0.500 1
In3 In 0.621 0.621 0.084 1
```

Values from the calculation:
Volume in Å³ per cell: 213.4
Space group: C2/m
Energy in eV per cell: -38.9
Crystal system: monoclinic
Distance to the lowest polymorph of the same formula in kJ/mol of atoms: 0.4

***

Entry 10:
Entry from Alexandria: a relaxed structure of Al4SiPt (GGA-PBE).

```
data_Al4SiPt
_space_group_name_H-M_alt 'P 1'
_space_group_IT_number 1
_space_group_name_Hall 'P 1'
_cell_length_a 5.175
_cell_length_b 5.175
_cell_length_c 5.175
_cell_angle_alpha 60.00
_cell_angle_beta 60.00
_cell_angle_gamma 60.00
loop_
_atom_site_label
_atom_site_type_symbol
_atom_site_fract_x
_atom_site_fract_y
_atom_site_fract_z
_atom_site_occupancy
Al1 Al 0.125 0.125 0.125 1
Al2 Al 0.125 0.125 0.624 1
Al3 Al 0.125 0.624 0.125 1
Al4 Al 0.624 0.125 0.125 1
Si1 Si 0.500 0.500 0.500 1
Pt1 Pt 0.750 0.750 0.750 1
```

Values from the calculation:
Volume in Å³ per cell: 98.0
Space group: F-43m
Energy in eV per cell: -25.3
Crystal system: cubic
Formation energy (no corrections) in eV per atom: 0.196